No. 1
Here is crystalline Cu2Ni6Pt at its relaxed geometry from Alexandria via LeMat-Bulk. Energies are from PBE.

The structure belongs to space group P-31m (No. 162); the cell edges are 7.0634, 7.0634 and 2.5061 Å and the angles 90.00°, 90.00° and 120.00°. The inequivalent atoms are Cu at (0.3333, 0.6667, 0.0000), Ni at (0.0000, 0.3433, 0.7227) and Pt at (0.0000, 0.0000, 0.5000).

Its crystal system is trigonal. For the energy above the lowest structure with this stoichiometry, the calculation gives 158 meV per atom.

---

No. 2
Here is crystalline CdSiMo2 at its relaxed geometry from Alexandria via LeMat-Bulk. Energies are from PBE.

The structure belongs to space group R-3m (No. 166, hexagonal axes); the cell edges are 2.8631, 2.8631 and 27.5666 Å and the angles 90.00°, 90.00° and 120.00°. The inequivalent atoms are Cd at (0.0000, 0.0000, 0.0000), Si at (0.0000, 0.0000, 0.5000) and Mo at (0.0000, 0.0000, 0.2422).

As for the uncorrected formation energy: 265 meV per atom. Its crystal system is trigonal. For the energy above the lowest structure with this stoichiometry, the calculation gives 131 meV per atom.

---

No. 3
Here is crystalline Li2AcGa2 at its relaxed geometry from Alexandria via LeMat-Bulk. Energies are from PBE.

The structure belongs to space group C2/m (No. 12); the cell edges are 6.773, 6.783 and 5.834 Å and the angles 90.00°, 124.88° and 90.00°. The inequivalent atoms are Li at (0.000, 0.249, 0.000), Ac at (0.000, 0.500, 0.500) and Ga at (0.129, 0.000, 0.757).

Its crystal system is monoclinic. For the energy above the lowest structure with this stoichiometry, the calculation gives 12 meV per atom.

---

No. 4
Here is crystalline Al2ZnNi at its relaxed geometry from Alexandria via LeMat-Bulk. Energies are from PBE.

The structure belongs to space group F-43m (No. 216); the cell edges are 6.067, 6.067 and 6.067 Å and the angles 90.00°, 90.00° and 90.00°. The inequivalent atoms are Al at (0.000, 0.000, 0.000), Al at (0.250, 0.250, 0.250), Zn at (0.250, 0.250, 0.750) and Ni at (0.000, 0.000, 0.500).

Its crystal system is cubic. The raw total energy comes out at -59.00 eV per cell.

---

No. 5
Here is crystalline Rb2YPtBr6 at its relaxed geometry from Alexandria via LeMat-Bulk. Energies are from PBE.

The structure belongs to space group I4/mmm (No. 139); the cell edges are 8.074, 8.074 and 10.703 Å and the angles 90.00°, 90.00° and 90.00°. The inequivalent atoms are Rb at (0.000, 0.500, 0.250), Y at (0.000, 0.000, 0.000), Pt at (0.000, 0.000, 0.500), Br at (0.000, 0.000, 0.262) and Br at (0.245, 0.245, 0.000).

As for the uncorrected formation energy: -1270 meV per atom. Its crystal system is tetragonal.

---

No. 6
Here is crystalline Pa2AlGa5 at its relaxed geometry from Alexandria via LeMat-Bulk. Energies are from PBE.

The structure belongs to space group I4mm (No. 107); the cell edges are 6.097, 6.097 and 8.545 Å and the angles 90.00°, 90.00° and 90.00°. The inequivalent atoms are Pa at (0.000, 0.500, 0.000), Al at (0.000, 0.000, 0.000), Ga at (0.000, 0.000, 0.500) and Ga at (0.250, 0.250, 0.250).

Its crystal system is tetragonal. The raw total energy comes out at -81.50 eV per cell.

---

No. 7
Here is crystalline PmPr2Sm4Th at its relaxed geometry from Alexandria via LeMat-Bulk. Energies are from PBE.

The structure belongs to space group P2/m (No. 10); the cell edges are 6.323, 3.652 and 12.056 Å and the angles 90.00°, 100.22° and 90.00°. The inequivalent atoms are Pm at (0.000, 0.000, 0.000), Pr at (0.500, 0.000, 0.500), Pr at (0.500, 0.500, 0.000), Sm at (0.242, 0.000, 0.745), Sm at (0.246, 0.500, 0.252) and Th at (0.000, 0.500, 0.500).

Its crystal system is monoclinic. The raw total energy comes out at -40.37 eV per cell.

---

No. 8
Here is crystalline KLi3H at its relaxed geometry from Alexandria via LeMat-Bulk. Energies are from PBE.

The structure belongs to space group Pm-3m (No. 221); the cell edges are 4.895, 4.895 and 4.895 Å and the angles 90.00°, 90.00° and 90.00°. The inequivalent atoms are K at (0.000, 0.000, 0.000), Li at (0.000, 0.500, 0.500) and H at (0.500, 0.500, 0.500).

Its crystal system is cubic. The raw total energy comes out at -9.20 eV per cell.

---

No. 9
Here is crystalline Eu4As3 at its relaxed geometry from Alexandria via LeMat-Bulk. Energies are from PBE.

The structure belongs to space group I-43d (No. 220); the cell edges are 9.176, 9.176 and 9.176 Å and the angles 90.00°, 90.00° and 90.00°. The inequivalent atoms are Eu at (0.068, 0.068, 0.068) and As at (0.000, 0.250, 0.375).

Its crystal system is cubic. The raw total energy comes out at -254.94 eV per cell.

---

No. 10
Here is crystalline PmMg2ZnPt2 at its relaxed geometry from Alexandria via LeMat-Bulk. Energies are from PBE.

The structure belongs to space group I4/mmm (No. 139); the cell edges are 5.183, 5.183 and 10.572 Å and the angles 90.00°, 90.00° and 90.00°. The inequivalent atoms are Pm at (0.000, 0.000, 0.000), Mg at (0.000, 0.500, 0.250), Zn at (0.000, 0.000, 0.500) and Pt at (0.000, 0.000, 0.268).

Its crystal system is tetragonal. The raw total energy comes out at -47.79 eV per cell.

---

No. 11
Here is crystalline HfAl3Tl at its relaxed geometry from Alexandria via LeMat-Bulk. Energies are from PBE.

The structure belongs to space group Pm-3m (No. 221); the cell edges are 5.072, 5.072 and 5.072 Å and the angles 90.00°, 90.00° and 90.00°. The inequivalent atoms are Hf at (0.000, 0.000, 0.000), Al at (0.000, 0.500, 0.500) and Tl at (0.500, 0.500, 0.500).

Its crystal system is cubic. For the energy above the lowest structure with this stoichiometry, the calculation gives 396 meV per atom.